No. 1
VASP calculation (GGA-PBE) on a geometry-optimized Rb2ScSbRh structure.

```
data_Rb2ScSbRh
_space_group_name_H-M_alt 'P 1'
_space_group_IT_number 1
_cell_length_a 6.842
_cell_length_b 4.903
_cell_length_c 6.842
_cell_angle_alpha 90.00
_cell_angle_beta 90.00
_cell_angle_gamma 90.00
loop_
_space_group_symop_operation_xyz
'x,y,z'
loop_
_atom_site_label
_atom_site_type_symbol
_atom_site_fract_x
_atom_site_fract_y
_atom_site_fract_z
Sc1 Sc 0.500 0.500 0.500
Rb1 Rb 0.000 0.000 0.500
Rb2 Rb 0.500 0.000 0.000
Sb1 Sb 0.000 0.000 0.000
Rh1 Rh 0.000 0.500 0.000
```

Summary:
Formation energy without anion corrections, eV/atom: 0.720
Calculated volume, Å³ per cell: 229.5

=====

No. 2
VASP calculation (GGA-PBE) on a geometry-optimized ThZr2Rh structure.

```
data_ThZr2Rh
_space_group_name_H-M_alt 'P 1'
_space_group_IT_number 1
_cell_length_a 3.431
_cell_length_b 3.431
_cell_length_c 9.471
_cell_angle_alpha 79.56
_cell_angle_beta 79.56
_cell_angle_gamma 60.00
loop_
_space_group_symop_operation_xyz
'x,y,z'
loop_
_atom_site_label
_atom_site_type_symbol
_atom_site_fract_x
_atom_site_fract_y
_atom_site_fract_z
Zr1 Zr 0.267 0.267 0.200
Zr2 Zr 0.733 0.733 0.800
Th1 Th 0.500 0.500 0.500
Rh1 Rh 0.000 0.000 0.000
```

Summary:
Offset from the most stable computed form, eV/atom: 0.2490
Calculated volume, Å³ per cell: 94.4
ΔH_f (0 K), eV/atom: -0.130

=====

No. 3
VASP calculation (GGA-PBE) on a geometry-optimized DyEr3Sb2 structure.

```
data_DyEr3Sb2
_space_group_name_H-M_alt 'P 1'
_space_group_IT_number 1
_cell_length_a 4.261
_cell_length_b 10.458
_cell_length_c 9.673
_cell_angle_alpha 125.26
_cell_angle_beta 90.00
_cell_angle_gamma 101.76
loop_
_space_group_symop_operation_xyz
'x,y,z'
loop_
_atom_site_label
_atom_site_type_symbol
_atom_site_fract_x
_atom_site_fract_y
_atom_site_fract_z
Er1 Er 0.688 0.376 0.484
Er2 Er 0.357 0.714 0.191
Er3 Er 0.944 0.888 0.563
Er4 Er 0.312 0.624 0.516
Er5 Er 0.643 0.286 0.809
Er6 Er 0.056 0.112 0.437
Sb1 Sb 0.509 0.019 0.173
Sb2 Sb 0.491 0.981 0.827
Sb3 Sb 0.250 0.500 0.780
Sb4 Sb 0.750 0.500 0.220
Dy1 Dy 0.110 0.219 0.105
Dy2 Dy 0.890 0.781 0.895
```

Summary:
Formation energy without anion corrections, eV/atom: -0.661
Calculated volume, Å³ per cell: 340.9

=====

No. 4
VASP calculation (GGA-PBE) on a geometry-optimized BaSnSb2W structure.

```
data_BaSnSb2W
_space_group_name_H-M_alt 'P 1'
_space_group_IT_number 1
_cell_length_a 5.649
_cell_length_b 6.271
_cell_length_c 5.649
_cell_angle_alpha 90.00
_cell_angle_beta 90.00
_cell_angle_gamma 90.00
loop_
_space_group_symop_operation_xyz
'x,y,z'
loop_
_atom_site_label
_atom_site_type_symbol
_atom_site_fract_x
_atom_site_fract_y
_atom_site_fract_z
W1 W 0.500 0.500 0.500
Sb1 Sb 0.000 0.000 0.500
Sb2 Sb 0.500 0.000 0.000
Ba1 Ba 0.000 0.500 0.000
Sn1 Sn 0.000 0.000 0.000
```

Summary:
Formation energy without anion corrections, eV/atom: 1.448
Calculated volume, Å³ per cell: 200.2

=====

No. 5
VASP calculation (GGA-PBE) on a geometry-optimized Nd3BiS2 structure.

```
data_Nd3BiS2
_space_group_name_H-M_alt 'P 1'
_space_group_IT_number 1
_cell_length_a 8.672
_cell_length_b 8.077
_cell_length_c 8.077
_cell_angle_alpha 55.15
_cell_angle_beta 57.53
_cell_angle_gamma 57.53
loop_
_space_group_symop_operation_xyz
'x,y,z'
loop_
_atom_site_label
_atom_site_type_symbol
_atom_site_fract_x
_atom_site_fract_y
_atom_site_fract_z
Bi1 Bi 0.839 0.750 0.750
Bi2 Bi 0.161 0.250 0.250
S1 S 0.726 0.060 0.060
S2 S 0.655 0.560 0.560
S3 S 0.345 0.440 0.440
S4 S 0.274 0.940 0.940
Nd1 Nd 0.500 0.770 0.230
Nd2 Nd 0.000 0.270 0.730
Nd3 Nd 0.500 0.500 0.000
Nd4 Nd 0.500 0.000 0.500
Nd5 Nd 0.000 0.730 0.270
Nd6 Nd 0.500 0.230 0.770
```

Summary:
Formation energy without anion corrections, eV/atom: -1.283
Calculated volume, Å³ per cell: 369.4

=====

No. 6
VASP calculation (GGA-PBE) on a geometry-optimized CaScTi3 structure.

```
data_CaScTi3
_space_group_name_H-M_alt 'P 1'
_space_group_IT_number 1
_cell_length_a 4.928
_cell_length_b 4.928
_cell_length_c 4.928
_cell_angle_alpha 90.00
_cell_angle_beta 90.00
_cell_angle_gamma 90.00
loop_
_space_group_symop_operation_xyz
'x,y,z'
loop_
_atom_site_label
_atom_site_type_symbol
_atom_site_fract_x
_atom_site_fract_y
_atom_site_fract_z
Sc1 Sc 0.000 0.000 0.000
Ca1 Ca 0.500 0.500 0.500
Ti1 Ti 0.000 0.500 0.000
Ti2 Ti 0.000 0.000 0.500
Ti3 Ti 0.500 0.000 0.000
```

Summary:
Offset from the most stable computed form, eV/atom: 0.0000
Calculated volume, Å³ per cell: 119.7
ΔH_f (0 K), eV/atom: 0.994

=====

No. 7
VASP calculation (GGA-PBE) on a geometry-optimized BaCoHg2 structure.

```
data_BaCoHg2
_space_group_name_H-M_alt 'P 1'
_space_group_IT_number 1
_cell_length_a 4.608
_cell_length_b 4.152
_cell_length_c 6.373
_cell_angle_alpha 71.18
_cell_angle_beta 90.00
_cell_angle_gamma 90.00
loop_
_space_group_symop_operation_xyz
'x,y,z'
loop_
_atom_site_label
_atom_site_type_symbol
_atom_site_fract_x
_atom_site_fract_y
_atom_site_fract_z
Co1 Co 0.500 0.905 0.813
Ba1 Ba 0.000 0.538 0.547
Hg1 Hg 0.000 0.815 0.998
Hg2 Hg 0.500 0.242 0.142
```

Summary:
Calculated volume, Å³ per cell: 115.4
ΔH_f (0 K), eV/atom: 0.179

=====

No. 8
VASP calculation (GGA-PBE) on a geometry-optimized Ba3NaLa2Se6 structure.

```
data_Ba3NaLa2Se6
_space_group_name_H-M_alt 'P 1'
_space_group_IT_number 1
_cell_length_a 7.800
_cell_length_b 7.800
_cell_length_c 7.863
_cell_angle_alpha 99.48
_cell_angle_beta 99.48
_cell_angle_gamma 119.99
loop_
_space_group_symop_operation_xyz
'x,y,z'
loop_
_atom_site_label
_atom_site_type_symbol
_atom_site_fract_x
_atom_site_fract_y
_atom_site_fract_z
Se1 Se 0.733 0.733 0.224
Se2 Se 0.418 0.076 0.228
Se3 Se 0.267 0.267 0.776
Se4 Se 0.924 0.582 0.772
Se5 Se 0.076 0.418 0.228
Se6 Se 0.582 0.924 0.772
Ba1 Ba 0.500 0.500 0.500
Ba2 Ba 0.163 0.837 0.500
Ba3 Ba 0.837 0.163 0.500
La1 La 0.667 0.333 0.000
La2 La 0.333 0.667 0.000
Na1 Na 0.000 0.000 0.000
```

Summary:
Formation energy without anion corrections, eV/atom: -1.915
Calculated volume, Å³ per cell: 391.2

=====

No. 9
VASP calculation (GGA-PBE) on a geometry-optimized CsTc2S3 structure.

```
data_CsTc2S3
_space_group_name_H-M_alt 'P 1'
_space_group_IT_number 1
_cell_length_a 5.542
_cell_length_b 8.039
_cell_length_c 8.020
_cell_angle_alpha 109.39
_cell_angle_beta 90.00
_cell_angle_gamma 90.00
loop_
_space_group_symop_operation_xyz
'x,y,z'
loop_
_atom_site_label
_atom_site_type_symbol
_atom_site_fract_x
_atom_site_fract_y
_atom_site_fract_z
Cs1 Cs 0.750 0.186 0.313
Cs2 Cs 0.250 0.814 0.687
Tc1 Tc 0.500 0.363 0.862
Tc2 Tc 0.000 0.363 0.862
Tc3 Tc 0.000 0.637 0.138
Tc4 Tc 0.500 0.637 0.138
S1 S 0.250 0.354 0.630
S2 S 0.750 0.131 0.851
S3 S 0.250 0.869 0.149
S4 S 0.750 0.609 0.891
S5 S 0.250 0.391 0.109
S6 S 0.750 0.646 0.370
```

Summary:
Formation energy without anion corrections, eV/atom: -0.657
Calculated volume, Å³ per cell: 337.0

=====

No. 10
VASP calculation (GGA-PBE) on a geometry-optimized AlAsOs2 structure.

```
data_AlAsOs2
_space_group_name_H-M_alt 'P 1'
_space_group_IT_number 1
_cell_length_a 5.705
_cell_length_b 5.705
_cell_length_c 6.587
_cell_angle_alpha 64.34
_cell_angle_beta 64.34
_cell_angle_gamma 90.00
loop_
_space_group_symop_operation_xyz
'x,y,z'
loop_
_atom_site_label
_atom_site_type_symbol
_atom_site_fract_x
_atom_site_fract_y
_atom_site_fract_z
As1 As 0.750 0.250 0.500
As2 As 0.000 0.000 0.000
Os1 Os 0.875 0.887 0.750
Os2 Os 0.637 0.125 0.250
Os3 Os 0.375 0.363 0.750
Os4 Os 0.113 0.625 0.250
Al1 Al 0.250 0.750 0.500
Al2 Al 0.500 0.500 0.000
```

Summary:
Offset from the most stable computed form, eV/atom: 1.0228
Calculated volume, Å³ per cell: 169.5
ΔH_f (0 K), eV/atom: 0.981

=====

No. 11
VASP calculation (GGA-PBE) on a geometry-optimized Er3ZnN structure.

```
data_Er3ZnN
_space_group_name_H-M_alt 'P 1'
_space_group_IT_number 1
_cell_length_a 6.684
_cell_length_b 6.589
_cell_length_c 9.369
_cell_angle_alpha 90.00
_cell_angle_beta 90.00
_cell_angle_gamma 90.00
loop_
_space_group_symop_operation_xyz
'x,y,z'
loop_
_atom_site_label
_atom_site_type_symbol
_atom_site_fract_x
_atom_site_fract_y
_atom_site_fract_z
N1 N 0.000 0.500 0.500
N2 N 0.500 0.000 0.000
N3 N 0.000 0.500 0.000
N4 N 0.500 0.000 0.500
Zn1 Zn 0.981 0.988 0.750
Zn2 Zn 0.019 0.012 0.250
Zn3 Zn 0.519 0.488 0.250
Zn4 Zn 0.481 0.512 0.750
Er1 Er 0.991 0.580 0.250
Er2 Er 0.268 0.269 0.460
Er3 Er 0.232 0.769 0.540
Er4 Er 0.768 0.231 0.460
Er5 Er 0.491 0.920 0.250
Er6 Er 0.009 0.420 0.750
Er7 Er 0.732 0.731 0.960
Er8 Er 0.232 0.769 0.960
Er9 Er 0.732 0.731 0.540
Er10 Er 0.768 0.231 0.040
Er11 Er 0.268 0.269 0.040
Er12 Er 0.509 0.080 0.750
```

Summary:
Formation energy without anion corrections, eV/atom: -0.869
Calculated volume, Å³ per cell: 412.6

=====

No. 12
VASP calculation (GGA-PBE) on a geometry-optimized Sc3Ga3OsRu2 structure.

```
data_Sc3Ga3OsRu2
_space_group_name_H-M_alt 'P 1'
_space_group_IT_number 1
_cell_length_a 3.146
_cell_length_b 7.432
_cell_length_c 7.432
_cell_angle_alpha 120.00
_cell_angle_beta 90.00
_cell_angle_gamma 90.00
loop_
_space_group_symop_operation_xyz
'x,y,z'
loop_
_atom_site_label
_atom_site_type_symbol
_atom_site_fract_x
_atom_site_fract_y
_atom_site_fract_z
Os1 Os 0.000 0.000 0.000
Sc1 Sc 0.500 0.709 0.000
Sc2 Sc 0.500 0.291 0.291
Sc3 Sc 0.500 0.000 0.709
Ru1 Ru 0.500 0.333 0.667
Ru2 Ru 0.500 0.667 0.333
Ga1 Ga 0.000 0.632 0.632
Ga2 Ga 0.000 0.000 0.368
Ga3 Ga 0.000 0.368 0.000
```

Summary:
Calculated volume, Å³ per cell: 150.5
ΔH_f (0 K), eV/atom: -0.436

=====

no.,DOS at the Fermi energy (states/eV/cell),density (g/cm³)
1,8.83,3.2
2,5.43,9.1
3,11.99,8.8
4,5.67,5.7
5,7.85,6.3
6,12.05,3.2
7,4.36,8.6
8,3.90,5.0
9,7.30,4.2
10,1.11,9.5
11,4.02,9.4
12,4.45,8.1